Computed, not measured: an optimized crystal structure of Mg3Si4 at the PBE level of DFT.

E above lowest polymorph	5.35	kJ per mole of atoms
DFT total energy	-3.6747	eV/atom
total moment	0.0000	μB per atom
raw formation energy	0.11	eV/atom

Geometry as POSCAR:
```
Mg3Si4
1.0
4.616 -0.007 0.033
-0.710 7.182 0.043
-0.166 -2.489 7.840
Mg Si
6 8
Cartesian
-0.053 5.312 4.563
2.494 2.903 4.748
2.440 1.850 7.765
0.804 -0.745 7.463
3.228 1.554 1.634
0.137 6.082 1.544
0.147 1.462 5.671
3.085 -0.341 6.070
2.509 4.829 2.737
0.941 3.063 2.008
0.215 3.621 6.699
0.724 1.031 3.370
2.800 -0.203 3.711
2.521 4.644 7.218
```

Computed, not measured: an optimized crystal structure of LiCd3Tc at the PBE level of DFT.

E above lowest polymorph	0.00	kJ per mole of atoms
DFT total energy	-2.3660	eV/atom
total moment	0.2508	μB per atom
energy of formation from the pure elements	61.7	kJ/mol of atoms

Geometry as POSCAR:
```
LiCd3Tc
1.0
5.267 0.000 0.000
0.000 5.267 0.000
0.000 0.000 5.267
Li Tc Cd
1 1 3
Cartesian
2.634 2.634 2.634
0.000 0.000 0.000
0.000 2.634 0.000
0.000 0.000 2.634
2.634 0.000 0.000
```